Here is Ta2NiH2 after structural relaxation from the Alexandria database. Energies are from GGA-PBE.

The space group is P4/mbm (No. 127) and the conventional cell measures 6.059, 6.059 and 2.800 Å, with angles of 90.00, 90.00 and 90.00 degrees. The distinct sites, in fractional coordinates, are Ta at (0.166, 0.334, 0.000), Ni at (0.000, 0.000, 0.500) and H at (0.121, 0.621, 0.500).

Its energy above the most stable polymorph in this dataset is 0.228 eV per atom.

=====

Here is Yb2Al3Ga after structural relaxation from the Alexandria database. Energies are from GGA-PBE.

The space group is R-3m (No. 166, hexagonal axes) and the conventional cell measures 5.5337, 5.5337 and 13.7327 Å, with angles of 90.00, 90.00 and 120.00 degrees. The distinct sites, in fractional coordinates, are Yb at (0.0000, 0.0000, 0.1252), Al at (0.0000, 0.5000, 0.0000) and Ga at (0.0000, 0.0000, 0.5000).

Its total energy is -3.35 eV per atom.

=====

Here is NaNdAgGe after structural relaxation from the Alexandria database. Energies are from GGA-PBE.

The space group is F-43m (No. 216) and the conventional cell measures 7.220, 7.220 and 7.220 Å, with angles of 90.00, 90.00 and 90.00 degrees. The distinct sites, in fractional coordinates, are Na at (0.000, 0.000, 0.000), Nd at (0.000, 0.000, 0.500), Ag at (0.250, 0.250, 0.750) and Ge at (0.250, 0.250, 0.250).

Its total energy is -3.70 eV per atom.

=====

Here is KRbPb3 after structural relaxation from the Alexandria database. Energies are from GGA-PBE.

The space group is Pm-3m (No. 221) and the conventional cell measures 6.353, 6.353 and 6.353 Å, with angles of 90.00, 90.00 and 90.00 degrees. The distinct sites, in fractional coordinates, are K at (0.000, 0.000, 0.000), Rb at (0.500, 0.500, 0.500) and Pb at (0.000, 0.500, 0.500).

Its energy above the most stable polymorph in this dataset is 0.158 eV per atom.

=====

Here is Sr2IrSe after structural relaxation from the Alexandria database. Energies are from GGA-PBE.

The space group is Imm2 (No. 44) and the conventional cell measures 3.918, 4.634 and 11.958 Å, with angles of 90.00, 90.00 and 90.00 degrees. The distinct sites, in fractional coordinates, are Sr at (0.000, 0.000, 0.000), Sr at (0.000, 0.500, 0.229), Ir at (0.000, 0.500, 0.778) and Se at (0.000, 0.000, 0.418).

The value obtained for the formation energy (no corrections) is -0.549 eV/atom.

=====

Here is PIrF after structural relaxation from the Alexandria database. Energies are from GGA-PBE.

The space group is Cm (No. 8) and the conventional cell measures 6.678, 3.730 and 4.113 Å, with angles of 90.00, 124.44 and 90.00 degrees. The distinct sites, in fractional coordinates, are P at (0.000, 0.000, 0.000), Ir at (0.259, 0.500, 0.262) and F at (0.000, 0.500, 0.500).

The value obtained for the formation energy (no corrections) is -0.641 eV/atom. Its energy above the most stable polymorph in this dataset is 0.360 eV per atom.

=====

Here is Ca2CdRe after structural relaxation from the Alexandria database. Energies are from GGA-PBE.

The space group is Pmm2 (No. 25) and the conventional cell measures 2.959, 5.244 and 5.852 Å, with angles of 90.00, 90.00 and 90.00 degrees. The distinct sites, in fractional coordinates, are Ca at (0.000, 0.000, 0.000), Ca at (0.000, 0.500, 0.348), Cd at (0.500, 0.500, 0.815) and Re at (0.500, 0.000, 0.512).

Its total energy is -3.88 eV per atom.

=====

Here is AcCe2Fe after structural relaxation from the Alexandria database. Energies are from GGA-PBE.

The space group is R3m (No. 160, hexagonal axes) and the conventional cell measures 3.8815, 3.8815 and 26.9667 Å, with angles of 90.00, 90.00 and 120.00 degrees. The distinct sites, in fractional coordinates, are Ac at (0.0000, 0.0000, 0.0000), Ce at (0.0000, 0.0000, 0.5512), Ce at (0.0000, 0.0000, 0.7789) and Fe at (0.0000, 0.0000, 0.1611).

Its energy above the most stable polymorph in this dataset is 0.000 eV per atom.

=====

Here is LiCu2Pt2 after structural relaxation from the Alexandria database. Energies are from GGA-PBE.

The space group is P4/mbm (No. 127) and the conventional cell measures 7.350, 7.350 and 2.799 Å, with angles of 90.00, 90.00 and 90.00 degrees. The distinct sites, in fractional coordinates, are Li at (0.000, 0.000, 0.000), Cu at (0.164, 0.336, 0.500) and Pt at (0.135, 0.635, 0.000).

Its energy above the most stable polymorph in this dataset is 0.000 eV per atom.

=====

Here is KBa2Bi after structural relaxation from the Alexandria database. Energies are from GGA-PBE.

The space group is P4/mmm (No. 123) and the conventional cell measures 5.863, 5.863 and 5.252 Å, with angles of 90.00, 90.00 and 90.00 degrees. The distinct sites, in fractional coordinates, are K at (0.000, 0.000, 0.000), Ba at (0.000, 0.500, 0.500) and Bi at (0.500, 0.500, 0.000).

Its total energy is -2.62 eV per atom.

=====

Here is Ca3Tb2ThTe6 after structural relaxation from the Alexandria database. Energies are from GGA-PBE.

The space group is C2/m (No. 12) and the conventional cell measures 19.628, 4.377 and 9.027 Å, with angles of 90.00, 105.61 and 90.00 degrees. The distinct sites, in fractional coordinates, are Ca at (0.000, 0.000, 0.000), Ca at (0.166, 0.500, 0.326), Tb at (0.160, 0.500, 0.818), Th at (0.000, 0.000, 0.500), Te at (0.002, 0.500, 0.244), Te at (0.169, 0.000, 0.580) and Te at (0.171, 0.000, 0.074).

The value obtained for the formation energy (no corrections) is -1.393 eV/atom.

=====

Here is LaCo3H6 after structural relaxation from the Alexandria database. Energies are from GGA-PBE.

The space group is R3 (No. 146, hexagonal axes) and the conventional cell measures 4.4308, 4.4308 and 15.1893 Å, with angles of 90.00, 90.00 and 120.00 degrees. The distinct sites, in fractional coordinates, are La at (0.0000, 0.0000, 0.0000), Co at (0.0000, 0.0000, 0.2022), Co at (0.0000, 0.0000, 0.5321), Co at (0.0000, 0.0000, 0.8187), H at (0.0330, 0.3399, 0.1328) and H at (0.1610, 0.8251, 0.2686).

Its total energy is -4.85 eV per atom.

=====

Here is BaRe2Mo after structural relaxation from the Alexandria database. Energies are from GGA-PBE.

The space group is F-43m (No. 216) and the conventional cell measures 6.673, 6.673 and 6.673 Å, with angles of 90.00, 90.00 and 90.00 degrees. The distinct sites, in fractional coordinates, are Ba at (0.000, 0.000, 0.000), Re at (0.000, 0.000, 0.500), Re at (0.250, 0.250, 0.250) and Mo at (0.250, 0.250, 0.750).

Its energy above the most stable polymorph in this dataset is 0.571 eV per atom.

=====

Here is LiTlMo2 after structural relaxation from the Alexandria database. Energies are from GGA-PBE.

The space group is I-42d (No. 122) and the conventional cell measures 3.712, 3.712 and 20.762 Å, with angles of 90.00, 90.00 and 90.00 degrees. The distinct sites, in fractional coordinates, are Li at (0.000, 0.000, 0.000), Tl at (0.000, 0.000, 0.500) and Mo at (0.234, 0.250, 0.125).

Its energy above the most stable polymorph in this dataset is 0.377 eV per atom.

=====

Here is ThMgCdPb after structural relaxation from the Alexandria database. Energies are from GGA-PBE.

The space group is F-43m (No. 216) and the conventional cell measures 7.549, 7.549 and 7.549 Å, with angles of 90.00, 90.00 and 90.00 degrees. The distinct sites, in fractional coordinates, are Th at (0.000, 0.000, 0.000), Mg at (0.000, 0.000, 0.500), Cd at (0.250, 0.250, 0.250) and Pb at (0.250, 0.250, 0.750).

Its energy above the most stable polymorph in this dataset is 0.116 eV per atom.

=====

Here is Tb2Th5Sc12 after structural relaxation from the Alexandria database. Energies are from GGA-PBE.

The space group is C2/m (No. 12) and the conventional cell measures 10.504, 10.688 and 9.804 Å, with angles of 90.00, 107.24 and 90.00 degrees. The distinct sites, in fractional coordinates, are Tb at (0.000, 0.235, 0.000), Th at (0.000, 0.500, 0.500), Th at (0.164, 0.000, 0.604), Th at (0.233, 0.000, 0.974), Sc at (0.031, 0.500, 0.183), Sc at (0.105, 0.000, 0.245), Sc at (0.108, 0.252, 0.397) and Sc at (0.184, 0.284, 0.768).

Its energy above the most stable polymorph in this dataset is 0.000 eV per atom.

=====

Here is RbTlBrF2 after structural relaxation from the Alexandria database. Energies are from GGA-PBE.

The space group is P4/mmm (No. 123) and the conventional cell measures 4.839, 4.839 and 5.762 Å, with angles of 90.00, 90.00 and 90.00 degrees. The distinct sites, in fractional coordinates, are Rb at (0.000, 0.000, 0.000), Tl at (0.500, 0.500, 0.500), Br at (0.500, 0.500, 0.000) and F at (0.000, 0.500, 0.500).

The value obtained for the formation energy (no corrections) is -1.754 eV/atom.

=====

Here is CuRhW2I after structural relaxation from the Alexandria database. Energies are from GGA-PBE.

The space group is P4/mmm (No. 123) and the conventional cell measures 4.884, 4.884 and 4.736 Å, with angles of 90.00, 90.00 and 90.00 degrees. The distinct sites, in fractional coordinates, are Cu at (0.000, 0.000, 0.000), Rh at (0.500, 0.500, 0.000), W at (0.000, 0.500, 0.500) and I at (0.500, 0.500, 0.500).

The value obtained for the formation energy (no corrections) is 2.479 eV/atom. Its energy above the most stable polymorph in this dataset is 0.364 eV per atom.

=====

Here is LaMgReS2 after structural relaxation from the Alexandria database. Energies are from GGA-PBE.

The space group is P4/mmm (No. 123) and the conventional cell measures 4.692, 4.692 and 4.934 Å, with angles of 90.00, 90.00 and 90.00 degrees. The distinct sites, in fractional coordinates, are La at (0.000, 0.000, 0.000), Mg at (0.500, 0.500, 0.000), Re at (0.500, 0.500, 0.500) and S at (0.000, 0.500, 0.500).

The value obtained for the formation energy (no corrections) is -0.172 eV/atom.

=====

Here is SrIn3Ga3I8 after structural relaxation from the Alexandria database. Energies are from GGA-PBE.

The space group is R-3m (No. 166, hexagonal axes) and the conventional cell measures 9.5514, 9.5514 and 24.1295 Å, with angles of 90.00, 90.00 and 120.00 degrees. The distinct sites, in fractional coordinates, are Sr at (0.0000, 0.0000, 0.0000), In at (0.0000, 0.5000, 0.5000), Ga at (0.0000, 0.5000, 0.0000), I at (0.0000, 0.0000, 0.2555) and I at (0.0030, 0.5015, 0.7437).

The value obtained for the formation energy (no corrections) is -0.662 eV/atom.

=====

Here is Li7Mg4Ag after structural relaxation from the Alexandria database. Energies are from GGA-PBE.

The space group is F-43m (No. 216) and the conventional cell measures 11.995, 11.995 and 11.995 Å, with angles of 90.00, 90.00 and 90.00 degrees. The distinct sites, in fractional coordinates, are Li at (0.000, 0.000, 0.000), Li at (0.044, 0.250, 0.250), Mg at (0.157, 0.157, 0.843) and Ag at (0.250, 0.250, 0.250).

Its energy above the most stable polymorph in this dataset is 0.426 eV per atom.

=====

Here is GaW after structural relaxation from the Alexandria database. Energies are from GGA-PBE.

The space group is C2/m (No. 12) and the conventional cell measures 4.663, 3.061 and 4.642 Å, with angles of 90.00, 107.39 and 90.00 degrees. The distinct sites, in fractional coordinates, are Ga at (0.000, 0.000, 0.000) and W at (0.000, 0.500, 0.500).

Its energy above the most stable polymorph in this dataset is 0.071 eV per atom.

=====

Here is KMn2Cl after structural relaxation from the Alexandria database. Energies are from GGA-PBE.

The space group is Cmmm (No. 65) and the conventional cell measures 5.606, 12.103 and 3.172 Å, with angles of 90.00, 90.00 and 90.00 degrees. The distinct sites, in fractional coordinates, are K at (0.000, 0.000, 0.000), Mn at (0.250, 0.250, 0.500) and Cl at (0.000, 0.500, 0.000).

The value obtained for the formation energy (no corrections) is 0.487 eV/atom. Its energy above the most stable polymorph in this dataset is 0.436 eV per atom.

=====

Here is Sr2TePt after structural relaxation from the Alexandria database. Energies are from GGA-PBE.

The space group is P4/mmm (No. 123) and the conventional cell measures 4.576, 4.576 and 6.471 Å, with angles of 90.00, 90.00 and 90.00 degrees. The distinct sites, in fractional coordinates, are Sr at (0.000, 0.000, 0.000), Sr at (0.500, 0.500, 0.500), Te at (0.000, 0.000, 0.500) and Pt at (0.500, 0.500, 0.000).

The value obtained for the formation energy (no corrections) is -1.117 eV/atom. Its energy above the most stable polymorph in this dataset is 0.033 eV per atom.

=====

Here is GdMgCoAg after structural relaxation from the Alexandria database. Energies are from GGA-PBE.

The space group is F-43m (No. 216) and the conventional cell measures 6.788, 6.788 and 6.788 Å, with angles of 90.00, 90.00 and 90.00 degrees. The distinct sites, in fractional coordinates, are Gd at (0.000, 0.000, 0.000), Mg at (0.000, 0.000, 0.500), Co at (0.250, 0.250, 0.750) and Ag at (0.250, 0.250, 0.250).

Its total energy is -6.45 eV per atom.